A plane-wave DFT calculation with SCAN was carried out for a PBEsol-optimized structure of ScBe2Ni.

Computed properties:
- Energy above the lowest structure with this stoichiometry: 323 meV per atom
- VASP energy: -39.1 eV/cell
- Energy of formation: -1 meV/atom
- Theoretical density: 4.09 Mg/m³

a b c (Å): 3.5211 3.5211 3.9807
angles (deg): 90.00 90.00 90.00
Space group P4/mmm (No. 123)
Inequivalent atoms, fractional coordinates:
Sc (0.0000, 0.0000, 0.0000)
Be (0.0000, 0.5000, 0.5000)
Ni (0.5000, 0.5000, 0.0000)

A plane-wave DFT calculation with SCAN was carried out for a PBEsol-optimized structure of BaSbPt4.

Computed properties:
- VASP energy: -1438.7 eV/cell
- Theoretical density: 14.82 Mg/m³
- Formation energy without anion corrections: -0.351 eV/atom

a b c (Å): 7.7529 7.7529 7.7529
angles (deg): 90.00 90.00 90.00
Space group F-43m (No. 216)
Inequivalent atoms, fractional coordinates:
Ba (0.0000, 0.0000, 0.0000)
Sb (0.2500, 0.2500, 0.2500)
Pt (0.1243, 0.1243, 0.6243)

A plane-wave DFT calculation with SCAN was carried out for a PBEsol-optimized structure of Cd3Pb5.

Computed properties:
- Energy above the lowest structure with this stoichiometry: 0 meV per atom
- VASP energy: -939.3 eV/cell
- Energy of formation: 61 meV/atom
- Theoretical density: 10.63 Mg/m³

a b c (Å): 9.4081 9.8593 4.6239
angles (deg): 90.00 90.00 90.00
Space group Cmmm (No. 65)
Inequivalent atoms, fractional coordinates:
Cd (0.0000, 0.0000, 0.0000)
Cd (0.0000, 0.2471, 0.5000)
Pb (0.0000, 0.5000, 0.0000)
Pb (0.2347, 0.0000, 0.5000)
Pb (0.2500, 0.2500, 0.0000)

A plane-wave DFT calculation with SCAN was carried out for a PBEsol-optimized structure of SrTl3.

Computed properties:
- VASP energy: -963.2 eV/cell
- Energy of formation: -363 meV/atom
- Theoretical density: 10.16 Mg/m³

a b c (Å): 6.9152 6.9152 11.0671
angles (deg): 90.00 90.00 120.00
Space group P6_3/mmc (No. 194)
Inequivalent atoms, fractional coordinates:
Sr (0.0000, 0.0000, 0.0000)
Sr (0.3333, 0.6667, 0.2500)
Tl (0.0000, 0.5000, 0.0000)
Tl (0.1728, 0.3456, 0.7500)

A plane-wave DFT calculation with SCAN was carried out for a PBEsol-optimized structure of BaTePd3.

Computed properties:
- VASP energy: -178.0 eV/cell
- Theoretical density: 7.69 Mg/m³
- Formation energy without anion corrections: -0.569 eV/atom

a b c (Å): 5.0150 5.0150 5.0150
angles (deg): 90.00 90.00 90.00
Space group Pm-3m (No. 221)
Inequivalent atoms, fractional coordinates:
Ba (0.0000, 0.0000, 0.0000)
Te (0.5000, 0.5000, 0.5000)
Pd (0.0000, 0.5000, 0.5000)

A plane-wave DFT calculation with SCAN was carried out for a PBEsol-optimized structure of K2CrIrSe.

Computed properties:
- VASP energy: -122.7 eV/cell
- Theoretical density: 3.78 Mg/m³
- Formation energy without anion corrections: 0.696 eV/atom

a b c (Å): 6.2422 6.2422 4.5252
angles (deg): 90.00 90.00 90.00
Space group P4/mmm (No. 123)
Inequivalent atoms, fractional coordinates:
K (0.0000, 0.5000, 0.0000)
Cr (0.0000, 0.0000, 0.0000)
Ir (0.5000, 0.5000, 0.5000)
Se (0.0000, 0.0000, 0.5000)

A plane-wave DFT calculation with SCAN was carried out for a PBEsol-optimized structure of K3InRh.

Computed properties:
- VASP energy: -87.5 eV/cell
- Energy of formation: 932 meV/atom
- Theoretical density: 2.17 Mg/m³

a b c (Å): 6.3531 6.3531 6.3531
angles (deg): 90.00 90.00 90.00
Space group Pm-3m (No. 221)
Inequivalent atoms, fractional coordinates:
K (0.0000, 0.0000, 0.5000)
In (0.0000, 0.0000, 0.0000)
Rh (0.5000, 0.5000, 0.5000)

A plane-wave DFT calculation with SCAN was carried out for a PBEsol-optimized structure of Li4CuP2O8.

Computed properties:
- Energy above the lowest structure with this stoichiometry: 23 meV per atom
- VASP energy: -260.9 eV/cell
- Theoretical density: 2.92 Mg/m³
- Formation energy without anion corrections: -2.336 eV/atom

a b c (Å): 6.2172 4.9073 10.4761
angles (deg): 90.00 91.78 90.00
Space group Pc (No. 7)
Inequivalent atoms, fractional coordinates:
Li (0.0000, 0.0371, 0.0000)
Li (0.2624, 0.4351, 0.9223)
Li (0.7527, 0.4388, 0.9131)
Li (0.7593, 0.0649, 0.2382)
Cu (0.2878, 0.0714, 0.2374)
P (0.0160, 0.4527, 0.6705)
P (0.5096, 0.0782, 0.4830)
O (0.0124, 0.4400, 0.0315)
O (0.0169, 0.1318, 0.6685)
O (0.2312, 0.4608, 0.2417)
O (0.2916, 0.0311, 0.9185)
O (0.5123, 0.0251, 0.1228)
O (0.5116, 0.3864, 0.4747)
O (0.7062, 0.0435, 0.9157)
O (0.8267, 0.4446, 0.2457)